# 1
VASP calculation (PBE) on BaSe3I after structural relaxation.

It has space group Pm-3m (No. 221), with a = 6.428 Å, b = 6.428 Å, c = 6.428 Å, α = 90.00°, β = 90.00° and γ = 90.00°. The distinct sites, in fractional coordinates, are Ba at (0.000, 0.000, 0.000), Se at (0.000, 0.000, 0.500) and I at (0.500, 0.500, 0.500).

The calculation puts the energy relative to the lowest polymorph listed for this composition at 658 meV per atom. For the calculated density, the calculation gives 3.13 Mg/m³. Its formation energy without anion corrections is 0.242 eV per atom. Its total magnetization is 5.00 Bohr magnetons per cell. The raw total energy is -12.71 eV per cell.

***

# 2
VASP calculation (PBE) on BeAlGa3 after structural relaxation.

It has space group Pm-3m (No. 221), with a = 4.517 Å, b = 4.517 Å, c = 4.517 Å, α = 90.00°, β = 90.00° and γ = 90.00°. The distinct sites, in fractional coordinates, are Be at (0.000, 0.000, 0.000), Al at (0.500, 0.500, 0.500) and Ga at (0.000, 0.000, 0.500).

The calculation puts the energy relative to the lowest polymorph listed for this composition at 0 meV per atom. For the calculated density, the calculation gives 4.42 Mg/m³. For the calculated formation energy, the calculation gives 0.34 eV/atom. Its total magnetization is 0.00 Bohr magnetons per cell. The raw total energy is -14.87 eV per cell.

***

# 3
VASP calculation (PBE) on NiTe2Cl after structural relaxation.

It has space group P4mm (No. 99), with a = 3.443 Å, b = 3.443 Å, c = 9.032 Å, α = 90.00°, β = 90.00° and γ = 90.00°. The distinct sites, in fractional coordinates, are Ni at (0.000, 0.000, 0.000), Te at (0.000, 0.000, 0.275), Te at (0.500, 0.500, 0.912) and Cl at (0.500, 0.500, 0.643).

For the calculated density, the calculation gives 5.42 Mg/m³. Its formation energy without anion corrections is -0.060 eV per atom. Its total magnetization is 0.00 Bohr magnetons per cell. The raw total energy is -14.15 eV per cell.

***

# 4
VASP calculation (PBE) on ErPS after structural relaxation.

It has space group Cmcm (No. 63), with a = 4.064 Å, b = 18.655 Å, c = 3.931 Å, α = 90.00°, β = 90.00° and γ = 90.00°. The distinct sites, in fractional coordinates, are Er at (0.000, 0.092, 0.250), P at (0.000, 0.469, 0.250) and S at (0.000, 0.178, 0.750).

For the calculated density, the calculation gives 5.13 Mg/m³. Its formation energy without anion corrections is -0.849 eV per atom. Its total magnetization is 0.00 Bohr magnetons per cell. The raw total energy is -66.59 eV per cell.

***

# 5
VASP calculation (PBE) on Pm3Hg2Pb after structural relaxation.

It has space group P4/mmm (No. 123), with a = 3.776 Å, b = 3.776 Å, c = 11.967 Å, α = 90.00°, β = 90.00° and γ = 90.00°. The distinct sites, in fractional coordinates, are Pm at (0.000, 0.000, 0.000), Pm at (0.000, 0.000, 0.322), Hg at (0.500, 0.500, 0.156) and Pb at (0.500, 0.500, 0.500).

The calculation puts the energy relative to the lowest polymorph listed for this composition at 4 meV per atom. For the calculated density, the calculation gives 10.15 Mg/m³. For the calculated formation energy, the calculation gives -0.49 eV/atom. Its total magnetization is 0.08 Bohr magnetons per cell. The raw total energy is -21.49 eV per cell.

***

# 6
VASP calculation (PBE) on La3Hg2Au after structural relaxation.

It has space group P4/mmm (No. 123), with a = 3.869 Å, b = 3.869 Å, c = 11.589 Å, α = 90.00°, β = 90.00° and γ = 90.00°. The distinct sites, in fractional coordinates, are La at (0.000, 0.000, 0.000), La at (0.000, 0.000, 0.346), Hg at (0.500, 0.500, 0.168) and Au at (0.500, 0.500, 0.500).

For the calculated density, the calculation gives 9.71 Mg/m³. For the calculated formation energy, the calculation gives -0.60 eV/atom. Its total magnetization is 0.17 Bohr magnetons per cell. The raw total energy is -22.24 eV per cell.

***

# 7
VASP calculation (PBE) on TiFe2 after structural relaxation.

It has space group P6_3/mmc (No. 194), with a = 4.7793 Å, b = 4.7793 Å, c = 7.7618 Å, α = 90.00°, β = 90.00° and γ = 120.00°. The distinct sites, in fractional coordinates, are Ti at (0.3333, 0.6667, 0.0624), Fe at (0.0000, 0.0000, 0.0000) and Fe at (0.1694, 0.3388, 0.7500).

For the calculated density, the calculation gives 6.90 Mg/m³. For the calculated formation energy, the calculation gives -0.28 eV/atom. Its total magnetization is 11.04 Bohr magnetons per cell. The raw total energy is -102.70 eV per cell.

***

# 8
VASP calculation (PBE) on BaY2Au2O6 after structural relaxation.

It has space group P-1 (No. 2), with a = 6.388 Å, b = 6.508 Å, c = 6.846 Å, α = 79.95°, β = 62.22° and γ = 70.51°. The distinct sites, in fractional coordinates, are Ba at (0.000, 0.000, 0.000), Y at (0.316, 0.999, 0.368), Au at (0.185, 0.500, 0.629), O at (0.060, 0.830, 0.634), O at (0.310, 0.169, 0.626) and O at (0.468, 0.896, 0.002).

For the calculated density, the calculation gives 5.63 Mg/m³. Its formation energy without anion corrections is -2.038 eV per atom. Its total magnetization is 0.00 Bohr magnetons per cell. The raw total energy is -73.57 eV per cell.

***

# 9
VASP calculation (PBE) on Ba2Mg12Cd3Ag after structural relaxation.

It has space group R-3m (No. 166, hexagonal axes), with a = 7.6593 Å, b = 7.6593 Å, c = 31.0703 Å, α = 90.00°, β = 90.00° and γ = 120.00°. The distinct sites, in fractional coordinates, are Ba at (0.0000, 0.0000, 0.1508), Mg at (0.0599, 0.5299, 0.0976), Mg at (0.0712, 0.5356, 0.6195), Cd at (0.0000, 0.5000, 0.0000) and Ag at (0.0000, 0.0000, 0.5000).

For the calculated density, the calculation gives 3.19 Mg/m³. For the calculated formation energy, the calculation gives 0.07 eV/atom. Its total magnetization is 0.00 Bohr magnetons per cell. The raw total energy is -82.00 eV per cell.

***

# 10
VASP calculation (PBE) on Nd2ErSn after structural relaxation.

It has space group Cmcm (No. 63), with a = 3.452 Å, b = 27.344 Å, c = 5.649 Å, α = 90.00°, β = 90.00° and γ = 90.00°. The distinct sites, in fractional coordinates, are Nd at (0.000, 0.094, 0.250), Nd at (0.000, 0.188, 0.750), Er at (0.000, 0.028, 0.750) and Sn at (0.000, 0.304, 0.750).

The calculation puts the energy relative to the lowest polymorph listed for this composition at 374 meV per atom. For the calculated density, the calculation gives 7.16 Mg/m³. For the calculated formation energy, the calculation gives -0.05 eV/atom. Its total magnetization is 0.00 Bohr magnetons per cell. The raw total energy is -73.28 eV per cell.

***

# 11
VASP calculation (PBE) on YHf4PaN8 after structural relaxation.

It has space group R3m (No. 160, hexagonal axes), with a = 6.5333 Å, b = 6.5333 Å, c = 16.1788 Å, α = 90.00°, β = 90.00° and γ = 120.00°. The distinct sites, in fractional coordinates, are Y at (0.0000, 0.0000, 0.0000), Hf at (0.0000, 0.0000, 0.6241), Hf at (0.1672, 0.3344, 0.8354), Pa at (0.0000, 0.0000, 0.3833), N at (0.0000, 0.0000, 0.2414), N at (0.0000, 0.0000, 0.7570), N at (0.0251, 0.5125, 0.7595) and N at (0.1699, 0.3398, 0.5747).

For the calculated density, the calculation gives 9.55 Mg/m³. Its formation energy without anion corrections is -1.582 eV per atom. Its total magnetization is 0.00 Bohr magnetons per cell. The raw total energy is -433.56 eV per cell.

***

# 12
VASP calculation (PBE) on Ac3Sn2BiPd6 after structural relaxation.

It has space group P-3m1 (No. 164), with a = 6.0787 Å, b = 6.0787 Å, c = 9.3803 Å, α = 90.00°, β = 90.00° and γ = 120.00°. The distinct sites, in fractional coordinates, are Ac at (0.0000, 0.0000, 0.0000), Ac at (0.3333, 0.6667, 0.6458), Sn at (0.3333, 0.6667, 0.0440), Bi at (0.0000, 0.0000, 0.5000) and Pd at (0.1759, 0.3519, 0.2771).

For the calculated density, the calculation gives 9.77 Mg/m³. For the calculated formation energy, the calculation gives -0.69 eV/atom. Its total magnetization is 0.00 Bohr magnetons per cell. The raw total energy is -63.70 eV per cell.